Record 1
Material: FeCuRh2
Method: DFT, GGA-PBE
State: optimized geometry

```
data_FeCuRh2
_chemical_formula_sum 'Fe2 Cu2 Rh4'
_cell_length_a 3.715
_cell_length_b 3.715
_cell_length_c 7.698
_cell_angle_alpha 90.00
_cell_angle_beta 90.00
_cell_angle_gamma 90.00
_symmetry_space_group_name_H-M 'I -4 m 2'
_symmetry_Int_Tables_number 119
_symmetry_space_group_name_Hall 'I -4 -2'
loop_
_atom_site_label
_atom_site_fract_x
_atom_site_fract_y
_atom_site_fract_z
Fe1 0.000 0.000 0.000
Cu1 0.000 0.500 0.250
Rh1 0.000 0.000 0.500
Rh2 0.000 0.500 0.750
```

Computed properties:
E	-54.27	eV per cell
DFT formation energy	0.032	eV per atom

---

Record 2
Material: Nd6CdPd
Method: DFT, GGA-PBE
State: optimized geometry

```
data_Nd6CdPd
_chemical_formula_sum 'Nd12 Cd2 Pd2'
_cell_length_a 6.985
_cell_length_b 10.689
_cell_length_c 6.614
_cell_angle_alpha 90.00
_cell_angle_beta 101.37
_cell_angle_gamma 90.00
_symmetry_space_group_name_H-M 'C 1 2/m 1'
_symmetry_Int_Tables_number 12
loop_
_symmetry_equiv_pos_as_xyz
'x,y,z'
'-x,-y,-z'
'-x,y,-z'
'x,-y,z'
'x+1/2,y+1/2,z'
'-x+1/2,-y+1/2,-z'
'-x+1/2,y+1/2,-z'
'x+1/2,-y+1/2,z'
loop_
_atom_site_label
_atom_site_fract_x
_atom_site_fract_y
_atom_site_fract_z
Nd1 0.124 0.213 0.269
Nd2 0.246 0.500 0.080
Cd1 0.000 0.500 0.500
Pd1 0.000 0.000 0.500
```

Computed properties:
E	-72.44	eV per cell
DFT formation energy	-0.188	eV per atom

---

Record 3
Material: UZnAg
Method: DFT, GGA-PBE
State: optimized geometry

```
data_UZnAg
_chemical_formula_sum 'U1 Zn1 Ag1'
_cell_length_a 2.8873
_cell_length_b 2.8873
_cell_length_c 7.6559
_cell_angle_alpha 90.00
_cell_angle_beta 90.00
_cell_angle_gamma 120.00
_symmetry_space_group_name_H-M 'P 3 m 1'
_symmetry_Int_Tables_number 156
loop_
_symmetry_equiv_pos_as_xyz
'x,y,z'
'-y,x-y,z'
'-x+y,-x,z'
'-y,-x,z'
'-x+y,y,z'
'x,x-y,z'
loop_
_atom_site_label
_atom_site_fract_x
_atom_site_fract_y
_atom_site_fract_z
U1 0.0000 0.0000 0.0000
Zn1 0.3333 0.6667 0.6609
Ag1 0.6667 0.3333 0.3656
```

Computed properties:
E	-15.05	eV per cell
DFT formation energy	0.122	eV per atom

---

Repeat the second record exactly.
Material: Nd6CdPd
Method: DFT, GGA-PBE
State: optimized geometry

```
data_Nd6CdPd
_chemical_formula_sum 'Nd12 Cd2 Pd2'
_cell_length_a 6.985
_cell_length_b 10.689
_cell_length_c 6.614
_cell_angle_alpha 90.00
_cell_angle_beta 101.37
_cell_angle_gamma 90.00
_symmetry_space_group_name_H-M 'C 1 2/m 1'
_symmetry_Int_Tables_number 12
loop_
_symmetry_equiv_pos_as_xyz
'x,y,z'
'-x,-y,-z'
'-x,y,-z'
'x,-y,z'
'x+1/2,y+1/2,z'
'-x+1/2,-y+1/2,-z'
'-x+1/2,y+1/2,-z'
'x+1/2,-y+1/2,z'
loop_
_atom_site_label
_atom_site_fract_x
_atom_site_fract_y
_atom_site_fract_z
Nd1 0.124 0.213 0.269
Nd2 0.246 0.500 0.080
Cd1 0.000 0.500 0.500
Pd1 0.000 0.000 0.500
```

Computed properties:
E	-72.44	eV per cell
DFT formation energy	-0.188	eV per atom

---

> Which formula does entry 3 have?

UZnAg

---

> The lowest E belongs to which entry?

Nd6CdPd

---

> The lowest DFT formation energy belongs to which entry?

Nd6CdPd